Density functional theory data (PBE) for a geometry-optimized Tm2MgCr structure.

Summary:
The total DFT energy (no corrections) is -4.931 eV per atom. The formation energy is 109 meV per atom. As for the energy above the most stable polymorph in this dataset: 0.000 eV/f.u. The density of states at the Fermi level is 3.44 states/eV per cell.

abc: 3.500 3.500 7.870
angles: 90.00 90.00 90.00
Sites, in units of the cell vectors:
Tm 0.000 0.000 0.216
Tm 0.000 0.000 0.784
Mg 0.500 0.500 0.500
Cr 0.500 0.500 0.000